Entry from Alexandria: NdMgAg2 after structural relaxation (PBE).

Unit cell a=3.3554 b=5.2314 c=5.2314 alpha=90.00 beta=90.00 gamma=90.00
Fractional coordinates of all 4 atoms:
Mg1 0.5000 0.5000 0.5000
Nd1 0.5000 0.0000 0.0000
Ag1 0.0000 0.0000 0.5000
Ag2 0.0000 0.5000 0.0000

Computed properties:
Space-group type ... No. 123
Formation energy from the elements ... -0.59 eV per formula unit
Total DFT energy (no corrections) ... -3.164 eV per atom


Entry from Alexandria: K3Y3HfS8 after structural relaxation (PBE).

Unit cell a=7.9223 b=7.9231 c=8.7943 alpha=116.79 beta=90.00 gamma=120.00
Fractional coordinates of all 15 atoms:
K1 0.0000 0.0000 0.0000
K2 0.0000 0.5000 0.0000
K3 0.5000 0.5000 0.0000
Y1 0.5000 0.0000 0.5000
Y2 0.5000 0.5000 0.5000
Y3 0.0000 0.5000 0.5000
Hf1 0.0000 0.0000 0.5000
S1 0.2662 0.5323 0.2986
S2 0.7338 0.4677 0.7014
S3 0.7790 0.5581 0.3079
S4 0.2210 0.4419 0.6921
S5 0.7791 0.0287 0.3079
S6 0.2209 0.9713 0.6921
S7 0.2496 0.0287 0.3079
S8 0.7504 0.9713 0.6921

Computed properties:
Space-group type ... No. 166
Total DFT energy (no corrections) ... -6.219 eV per atom
Formation energy without anion corrections ... -1.842 eV per atom


Entry from Alexandria: CaReP4 after structural relaxation (PBE).

Unit cell a=5.1399 b=5.1399 c=5.1399 alpha=60.00 beta=60.00 gamma=60.00
Fractional coordinates of all 6 atoms:
Ca1 0.0000 0.0000 0.0000
Re1 0.7500 0.7500 0.7500
P1 0.8657 0.3781 0.3781
P2 0.3781 0.3781 0.8657
P3 0.3781 0.8657 0.3781
P4 0.3781 0.3781 0.3781

Computed properties:
Space-group type ... No. 216
Formation energy from the elements ... 3.80 eV per formula unit
Total DFT energy (no corrections) ... -5.381 eV per atom


Entry from Alexandria: LaHfC2 after structural relaxation (PBE).

Unit cell a=4.3509 b=4.3509 c=4.3509 alpha=60.00 beta=60.00 gamma=60.00
Fractional coordinates of all 4 atoms:
C1 0.2500 0.2500 0.2500
C2 0.7500 0.7500 0.7500
Hf1 0.5000 0.5000 0.5000
La1 0.0000 0.0000 0.0000

Computed properties:
Space-group type ... No. 225
Formation energy from the elements ... 2.83 eV per formula unit
Total DFT energy (no corrections) ... -7.624 eV per atom


Entry from Alexandria: LuTiZnAu after structural relaxation (PBE).

Unit cell a=4.7746 b=4.7746 c=4.7746 alpha=60.00 beta=60.00 gamma=60.00
Fractional coordinates of all 4 atoms:
Zn1 0.0000 0.0000 0.0000
Lu1 0.7500 0.7500 0.7500
Au1 0.5000 0.5000 0.5000
Ti1 0.2500 0.2500 0.2500

Computed properties:
Space-group type ... No. 216
Formation energy from the elements ... -1.43 eV per formula unit
Total DFT energy (no corrections) ... -4.599 eV per atom


Entry from Alexandria: RbGaHg3 after structural relaxation (PBE).

Unit cell a=6.5049 b=6.5049 c=6.5049 alpha=90.00 beta=90.00 gamma=90.00
Fractional coordinates of all 5 atoms:
Ga1 0.5000 0.5000 0.5000
Hg1 0.0000 0.5000 0.0000
Hg2 0.0000 0.0000 0.5000
Hg3 0.5000 0.0000 0.0000
Rb1 0.0000 0.0000 0.0000

Computed properties:
Space-group type ... No. 221
Formation energy from the elements ... 2.40 eV per formula unit
Total DFT energy (no corrections) ... -0.500 eV per atom


Entry from Alexandria: ZnNCl2 after structural relaxation (PBE).

Unit cell a=3.5903 b=6.2903 c=9.6778 alpha=80.34 beta=100.69 gamma=90.00
Fractional coordinates of all 8 atoms:
Zn1 0.2500 0.2498 0.5000
Zn2 0.7500 0.7502 0.5000
N1 0.5178 0.2397 0.0355
N2 0.4822 0.7603 0.9645
Cl1 0.1769 0.9532 0.3539
Cl2 0.3230 0.5466 0.6460
Cl3 0.6770 0.4534 0.3540
Cl4 0.8231 0.0468 0.6461

Computed properties:
Space-group type ... No. 12
Total DFT energy (no corrections) ... -2.828 eV per atom
Formation energy without anion corrections ... 0.495 eV per atom


Entry from Alexandria: Sm2YPa after structural relaxation (PBE).

Unit cell a=3.4443 b=3.4443 c=10.3700 alpha=90.00 beta=90.00 gamma=90.00
Fractional coordinates of all 4 atoms:
Y1 0.5000 0.5000 0.5000
Pa1 0.5000 0.5000 0.0000
Sm1 0.0000 0.0000 0.7689
Sm2 0.0000 0.0000 0.2311

Computed properties:
Space-group type ... No. 123
Formation energy from the elements ... 0.61 eV per formula unit
Total DFT energy (no corrections) ... -6.198 eV per atom


Entry from Alexandria: CdPdBr5 after structural relaxation (PBE).

Unit cell a=6.9544 b=6.9544 c=9.9469 alpha=106.49 beta=106.49 gamma=88.17
Fractional coordinates of all 14 atoms:
Cd1 0.9521 0.5479 0.2500
Cd2 0.0479 0.4521 0.7500
Pd1 0.0000 0.0000 0.0000
Pd2 0.5000 0.5000 0.5000
Br1 0.8239 0.8786 0.1495
Br2 0.7742 0.2615 0.4891
Br3 0.3786 0.3239 0.6495
Br4 0.2392 0.2608 0.2500
Br5 0.2385 0.7258 0.0109
Br6 0.7615 0.2742 0.9891
Br7 0.7608 0.7392 0.7500
Br8 0.6214 0.6761 0.3505
Br9 0.2258 0.7385 0.5109
Br10 0.1761 0.1214 0.8505

Computed properties:
Space-group type ... No. 15
Total DFT energy (no corrections) ... -2.547 eV per atom
Formation energy without anion corrections ... -0.480 eV per atom


Entry from Alexandria: CaIrW2 after structural relaxation (PBE).

Unit cell a=4.5925 b=4.5925 c=4.5925 alpha=60.00 beta=60.00 gamma=60.00
Fractional coordinates of all 4 atoms:
Ca1 0.5000 0.5000 0.5000
Ir1 0.2500 0.2500 0.2500
W1 0.0000 0.0000 0.0000
W2 0.7500 0.7500 0.7500

Computed properties:
Space-group type ... No. 216
Formation energy from the elements ... 1.86 eV per formula unit
Total DFT energy (no corrections) ... -8.727 eV per atom


Entry from Alexandria: Ce4ThGe4 after structural relaxation (PBE).

Unit cell a=6.1037 b=8.9270 c=8.9270 alpha=90.00 beta=90.00 gamma=90.00
Fractional coordinates of all 18 atoms:
Ce1 0.3455 0.2999 0.8883
Ce2 0.8455 0.6117 0.7999
Ce3 0.3455 0.7001 0.1117
Ce4 0.1545 0.2001 0.6117
Ce5 0.6545 0.8883 0.7001
Ce6 0.1545 0.7999 0.3883
Ce7 0.8455 0.3883 0.2001
Ce8 0.6545 0.1117 0.2999
Th1 0.0000 0.0000 0.0000
Th2 0.5000 0.5000 0.5000
Ge1 0.6523 0.7883 0.3767
Ge2 0.6523 0.2117 0.6233
Ge3 0.1523 0.8767 0.7117
Ge4 0.8477 0.2883 0.8767
Ge5 0.8477 0.7117 0.1233
Ge6 0.3477 0.3767 0.2117
Ge7 0.3477 0.6233 0.7883
Ge8 0.1523 0.1233 0.2883

Computed properties:
Space-group type ... No. 86
Formation energy from the elements ... -3.61 eV per formula unit
Total DFT energy (no corrections) ... -5.915 eV per atom


Entry from Alexandria: Pr10SmHo4 after structural relaxation (PBE).

Unit cell a=10.8736 b=8.9806 c=8.9806 alpha=68.50 beta=52.74 gamma=52.74
Fractional coordinates of all 15 atoms:
Pr1 0.2500 0.5000 0.5000
Pr2 0.7124 0.3457 0.8925
Pr3 0.9419 0.1075 0.3457
Pr4 0.3951 0.8925 0.6543
Pr5 0.9506 0.6543 0.1075
Pr6 0.2876 0.6543 0.1075
Pr7 0.7500 0.5000 0.5000
Pr8 0.0494 0.3457 0.8925
Pr9 0.6049 0.1075 0.3457
Pr10 0.0581 0.8925 0.6543
Sm1 0.0000 0.0000 0.0000
Ho1 0.5552 0.6708 0.2187
Ho2 0.7740 0.7813 0.6708
Ho3 0.2260 0.2187 0.3292
Ho4 0.4448 0.3292 0.7813

Computed properties:
Space-group type ... No. 87
Formation energy from the elements ... 6.38 eV per formula unit
Total DFT energy (no corrections) ... -4.296 eV per atom


Q: total DFT energy (no corrections) of number 12 (Pr10SmHo4)?
A: -4.296 eV per atom


Q: What is the formula in the second record?
A: K3Y3HfS8


Repeat the eighth record exactly.
Entry from Alexandria: Sm2YPa after structural relaxation (PBE).

Unit cell a=3.4443 b=3.4443 c=10.3700 alpha=90.00 beta=90.00 gamma=90.00
Fractional coordinates of all 4 atoms:
Y1 0.5000 0.5000 0.5000
Pa1 0.5000 0.5000 0.0000
Sm1 0.0000 0.0000 0.7689
Sm2 0.0000 0.0000 0.2311

Computed properties:
Space-group type ... No. 123
Formation energy from the elements ... 0.61 eV per formula unit
Total DFT energy (no corrections) ... -6.198 eV per atom